Entry 1:
The following is a DFT calculation (meta-GGA SCAN) of CdIn4I6 at its PBEsol-relaxed geometry.

Output
DOS(E_F) = 0.000 states/eV/atom
Uncorrected energy = -779.47 eV per cell
E_form (uncorrected) = -484 meV per atom

abc: 8.750 8.750 9.670
angles: 90.00 90.00 90.00
Space group P4/mnc (No. 128)
Inequivalent atoms, fractional coordinates:
Cd 0.000 0.000 0.000
In 0.140 0.360 0.250
I 0.000 0.000 0.295
I 0.152 0.689 0.000


Entry 2:
The following is a DFT calculation (meta-GGA SCAN) of Ba3SrZn at its PBEsol-relaxed geometry.

Output
DFT formation energy = 15 meV/atom
DOS(E_F) = 1.374 states/eV/atom
Uncorrected energy = -154.37 eV per cell

abc: 6.440 6.440 6.440
angles: 90.00 90.00 90.00
Space group Pm-3m (No. 221)
Inequivalent atoms, fractional coordinates:
Ba 0.000 0.000 0.500
Sr 0.500 0.500 0.500
Zn 0.000 0.000 0.000


Number 1: total magnetic moment 0.000 μB/atom. Number 2: total magnetic moment 0.085 μB/atom.